Record 1
VASP calculation (PBE) on La2TeRu2 after structural relaxation.

Cell: 7.487 7.487 4.214 Å, 90.00 90.00 90.00°
Atoms (fractional coordinates):
Ru1 0.384 0.884 0.000
Ru2 0.884 0.616 0.000
Ru3 0.616 0.116 0.000
Ru4 0.116 0.384 0.000
Te1 0.000 0.000 0.000
Te2 0.500 0.500 0.000
La1 0.184 0.684 0.500
La2 0.684 0.816 0.500
La3 0.816 0.316 0.500
La4 0.316 0.184 0.500

Properties
**Uncorrected formation energy**: -0.441 eV per atom
**Space group**: P4/mbm
**Energy above the most stable polymorph in this dataset**: 0 meV/atom

---

Record 2
VASP calculation (PBE) on CsMnIn2Cl5 after structural relaxation.

Cell: 8.734 8.734 9.699 Å, 116.76 116.76 90.00°
Atoms (fractional coordinates):
Cs1 0.250 0.250 0.500
Cs2 0.750 0.750 0.500
Mn1 0.250 0.750 0.500
Mn2 0.750 0.250 0.500
In1 0.175 0.325 0.000
In2 0.675 0.175 0.000
In3 0.325 0.825 0.000
In4 0.825 0.675 0.000
Cl1 0.003 0.503 0.302
Cl2 0.701 0.201 0.698
Cl3 0.997 0.497 0.698
Cl4 0.201 0.997 0.698
Cl5 0.497 0.701 0.698
Cl6 0.799 0.003 0.302
Cl7 0.503 0.299 0.302
Cl8 0.299 0.799 0.302
Cl9 0.500 0.500 0.000
Cl10 0.000 0.000 0.000

Properties
**Uncorrected formation energy**: -1.190 eV per atom
**Space group**: I4/mcm

---

Record 3
VASP calculation (PBE) on Co2SnH after structural relaxation.

Cell: 4.090 4.090 4.090 Å, 60.00 60.00 60.00°
Atoms (fractional coordinates):
H1 0.000 0.000 0.000
Co1 0.250 0.250 0.250
Co2 0.750 0.750 0.750
Sn1 0.500 0.500 0.500

Properties
**Space group**: Fm-3m
**Energy above the most stable polymorph in this dataset**: 475 meV/atom

---

Record 4
VASP calculation (PBE) on Ti7TcRh2 after structural relaxation.

Cell: 6.422 6.422 6.422 Å, 60.00 60.00 60.00°
Atoms (fractional coordinates):
Ti1 0.500 0.500 0.500
Ti2 0.253 0.747 0.747
Ti3 0.253 0.747 0.253
Ti4 0.747 0.253 0.747
Ti5 0.747 0.747 0.253
Ti6 0.253 0.253 0.747
Ti7 0.747 0.253 0.253
Tc1 0.000 0.000 0.000
Rh1 0.250 0.250 0.250
Rh2 0.750 0.750 0.750

Properties
**Calculated formation energy**: 0.73 eV/atom
**Space group**: Fm-3m

---

Record 5
VASP calculation (PBE) on SrNd2Hg after structural relaxation.

Cell: 3.885 3.885 9.600 Å, 90.00 90.00 90.00°
Atoms (fractional coordinates):
Sr1 0.500 0.500 0.500
Nd1 0.000 0.000 0.811
Nd2 0.000 0.000 0.189
Hg1 0.500 0.500 0.000

Properties
**Calculated formation energy**: -0.13 eV/atom
**Space group**: P4/mmm
**Energy above the most stable polymorph in this dataset**: 0 meV/atom

---

Record 6
VASP calculation (PBE) on HfSc2Ag after structural relaxation.

Cell: 7.805 7.805 6.277 Å, 51.56 51.56 90.00°
Atoms (fractional coordinates):
Sc1 0.588 0.125 0.250
Sc2 0.162 0.625 0.250
Sc3 0.375 0.412 0.750
Sc4 0.875 0.838 0.750
Hf1 0.000 0.000 0.000
Hf2 0.750 0.250 0.500
Ag1 0.500 0.500 0.000
Ag2 0.250 0.750 0.500

Properties
**Calculated formation energy**: 0.29 eV/atom
**Space group**: I-42d
**Energy above the most stable polymorph in this dataset**: 412 meV/atom

---

Record 7
VASP calculation (PBE) on Zr4FeBr after structural relaxation.

Cell: 5.785 5.785 5.785 Å, 60.00 60.00 60.00°
Atoms (fractional coordinates):
Zr1 0.883 0.372 0.372
Zr2 0.372 0.372 0.883
Zr3 0.372 0.883 0.372
Zr4 0.372 0.372 0.372
Fe1 0.000 0.000 0.000
Br1 0.750 0.750 0.750

Properties
**Uncorrected formation energy**: 0.701 eV per atom
**Space group**: F-43m

---

Record 8
VASP calculation (PBE) on CdPtAu2 after structural relaxation.

Cell: 4.940 2.956 4.962 Å, 88.02 90.00 90.00°
Atoms (fractional coordinates):
Au1 0.000 0.990 0.997
Au2 0.000 0.510 0.503
Pt1 0.500 0.750 0.750
Cd1 0.500 0.250 0.250

Properties
**Calculated formation energy**: -0.08 eV/atom
**Space group**: P2/m